Material: RbCuNiS2
Method: DFT, PBE
State: relaxed

Cell and atoms, written as POSCAR:
```
RbCuNiS2
1.0
5.475 0.000 0.000
-2.737 6.769 0.000
0.000 0.000 5.900
Ni S Cu Rb
2 4 2 2
direct
0.250 0.000 0.000 Ni
0.750 0.000 0.000 Ni
0.099 0.198 0.788 S
0.599 0.198 0.212 S
0.901 0.802 0.212 S
0.401 0.802 0.788 S
0.500 0.000 0.500 Cu
0.000 0.000 0.500 Cu
0.250 0.500 0.254 Rb
0.750 0.500 0.746 Rb
```

Its density is 4.13 g/cm3. Its total energy is -4.340 eV/atom. The space group is Cmme.

***

Material: La5Pr5Y
Method: DFT, PBE
State: relaxed

Cell and atoms, written as POSCAR:
```
La5Pr5Y
1.0
-4.976 0.301 4.057
0.324 -1.370 -6.277
2.782 -11.619 5.987
Pr La Y
5 5 1
direct
0.848 0.970 0.773 Pr
0.212 0.154 0.319 Pr
0.940 0.514 0.408 Pr
0.666 0.880 0.501 Pr
0.394 0.241 0.590 Pr
0.757 0.425 0.136 La
0.576 0.335 0.865 La
0.121 0.607 0.683 La
0.485 0.786 0.226 La
0.030 0.059 0.044 La
0.303 0.696 0.954 Y
```

Its density is 6.21 g/cm3. The space group is P1. As for the energy above the most stable polymorph in this dataset: 0.000 eV per atom. As for the energy relative to the elements: 0.01 eV/atom.

***

Material: PmBe2GeIr
Method: DFT, PBE
State: relaxed

Cell and atoms, written as POSCAR:
```
PmBe2GeIr
1.0
3.995 0.000 0.000
0.000 3.887 0.000
-1.998 -1.943 5.150
Ge Pm Be Ir
1 1 2 1
direct
0.825 0.825 0.650 Ge
0.446 0.446 0.892 Pm
0.688 0.188 0.377 Be
0.071 0.071 0.142 Be
0.181 0.681 0.363 Ir
```

Its density is 8.88 g/cm3. The space group is Imm2. As for the energy relative to the elements: -0.45 eV/atom.

***

Material: SrTcOs
Method: DFT, PBE
State: relaxed

Cell and atoms, written as POSCAR:
```
SrTcOs
1.0
-0.518 4.496 0.509
-3.214 -0.040 -2.918
-4.996 -1.588 5.525
Sr Tc Os
2 2 2
direct
0.254 0.750 0.667 Sr
0.746 0.250 0.333 Sr
0.177 0.750 0.142 Tc
0.823 0.250 0.858 Tc
0.304 0.250 0.001 Os
0.696 0.750 0.999 Os
```

Its density is 8.30 g/cm3. The space group is P2_1/m. As for the energy above the most stable polymorph in this dataset: 0.047 eV per atom. As for the energy relative to the elements: 0.30 eV/atom.